1.
Below is an optimized crystal structure of Na8Tl5As, with properties calculated at the PBE level.

Values from the calculation:
formation enthalpy at 0 K: -0.1253 eV/atom
calculated total energy: -0.07556 Ha/atom
size of the total moment: 0.0 μB per formula unit
density: 5025 kg/m³

```
data_Na8Tl5As
_space_group_name_H-M_alt 'I -4'
_space_group_IT_number 82
_cell_length_a 10.149
_cell_length_b 10.149
_cell_length_c 8.218
_cell_angle_alpha 90.00
_cell_angle_beta 90.00
_cell_angle_gamma 90.00
loop_
_space_group_symop_operation_xyz
'x,y,z'
'y,-x,-z'
'-x,-y,z'
'-y,x,-z'
'x+1/2,y+1/2,z+1/2'
'y+1/2,-x+1/2,-z+1/2'
'-x+1/2,-y+1/2,z+1/2'
'-y+1/2,x+1/2,-z+1/2'
loop_
_atom_site_label
_atom_site_type_symbol
_atom_site_fract_x
_atom_site_fract_y
_atom_site_fract_z
Na1 Na 0.011 0.339 0.053
Na2 Na 0.142 0.252 0.713
Tl1 Tl 0.000 0.000 0.000
Tl2 Tl 0.076 0.146 0.353
As1 As 0.000 0.500 0.750
```

2.
Below is an optimized crystal structure of Na2UAs2, with properties calculated at the PBE level.

Values from the calculation:
formation enthalpy at 0 K: -0.4626 eV/atom
calculated total energy: -0.18770 Ha/atom
size of the total moment: 2.0 μB per formula unit
density: 5643 kg/m³

```
data_Na2UAs2
_space_group_name_H-M_alt 'R -3 m'
_space_group_IT_number 166
_space_group_name_Hall '-R 3 2"'
_cell_length_a 4.3746
_cell_length_b 4.3746
_cell_length_c 23.1144
_cell_angle_alpha 90.00
_cell_angle_beta 90.00
_cell_angle_gamma 120.00
loop_
_atom_site_label
_atom_site_type_symbol
_atom_site_fract_x
_atom_site_fract_y
_atom_site_fract_z
Na1 Na 0.0000 0.0000 0.2114
U1 U 0.0000 0.0000 0.0000
As1 As 0.0000 0.0000 0.3964
```

3.
Below is an optimized crystal structure of NaUAs, with properties calculated at the PBE level.

Values from the calculation:
formation enthalpy at 0 K: -0.2738 eV/atom
calculated total energy: -0.22145 Ha/atom
size of the total moment: 0.0 μB per formula unit
density: 7044 kg/m³

```
data_NaUAs
_space_group_name_H-M_alt 'R -3 m'
_space_group_IT_number 166
_space_group_name_Hall '-R 3 2"'
_cell_length_a 3.9650
_cell_length_b 3.9650
_cell_length_c 34.9024
_cell_angle_alpha 90.00
_cell_angle_beta 90.00
_cell_angle_gamma 120.00
loop_
_atom_site_label
_atom_site_type_symbol
_atom_site_fract_x
_atom_site_fract_y
_atom_site_fract_z
Na1 Na 0.0000 0.0000 0.1202
U1 U 0.0000 0.0000 0.3147
As1 As 0.0000 0.0000 0.4011
```

4.
Below is an optimized crystal structure of Na2ZrUAs4, with properties calculated at the PBE level.

Values from the calculation:
formation enthalpy at 0 K: -0.6290 eV/atom
calculated total energy: -0.21179 Ha/atom
size of the total moment: 0.2 μB per formula unit
density: 5679 kg/m³

```
data_Na2ZrUAs4
_space_group_name_H-M_alt 'P 1 2/m 1'
_space_group_IT_number 10
_cell_length_a 6.947
_cell_length_b 4.093
_cell_length_c 7.327
_cell_angle_alpha 90.00
_cell_angle_beta 108.69
_cell_angle_gamma 90.00
loop_
_space_group_symop_operation_xyz
'x,y,z'
'-x,-y,-z'
'-x,y,-z'
'x,-y,z'
loop_
_atom_site_label
_atom_site_type_symbol
_atom_site_fract_x
_atom_site_fract_y
_atom_site_fract_z
Na1 Na 0.000 0.000 0.000
Na2 Na 0.500 0.500 0.000
Zr1 Zr 0.000 0.500 0.500
U1 U 0.500 0.000 0.500
As1 As 0.239 0.000 0.711
As2 As 0.262 0.500 0.286
```

5.
Below is an optimized crystal structure of Na2VAs2, with properties calculated at the PBE level.

Values from the calculation:
formation enthalpy at 0 K: 0.1762 eV/atom
calculated total energy: -0.14828 Ha/atom
size of the total moment: 2.5 μB per formula unit
density: 4100 kg/m³
energy relative to the lowest polymorph listed for this composition: 605.3 meV/atom

```
data_Na2VAs2
_space_group_name_H-M_alt 'I 4/m m m'
_space_group_IT_number 139
_space_group_name_Hall '-I 4 2'
_cell_length_a 3.811
_cell_length_b 3.811
_cell_length_c 13.764
_cell_angle_alpha 90.00
_cell_angle_beta 90.00
_cell_angle_gamma 90.00
loop_
_atom_site_label
_atom_site_type_symbol
_atom_site_fract_x
_atom_site_fract_y
_atom_site_fract_z
Na1 Na 0.000 0.500 0.250
V1 V 0.000 0.000 0.000
As1 As 0.000 0.000 0.410
```

6.
Below is an optimized crystal structure of Na3VAs, with properties calculated at the PBE level.

Values from the calculation:
formation enthalpy at 0 K: 1.0877 eV/atom
calculated total energy: -0.09031 Ha/atom
size of the total moment: 4.2 μB per formula unit
density: 1981 kg/m³
energy relative to the lowest polymorph listed for this composition: 463.5 meV/atom

```
data_Na3VAs
_space_group_name_H-M_alt 'P m -3 m'
_space_group_IT_number 221
_space_group_name_Hall '-P 4 2 3'
_cell_length_a 5.466
_cell_length_b 5.466
_cell_length_c 5.466
_cell_angle_alpha 90.00
_cell_angle_beta 90.00
_cell_angle_gamma 90.00
loop_
_atom_site_label
_atom_site_type_symbol
_atom_site_fract_x
_atom_site_fract_y
_atom_site_fract_z
Na1 Na 0.000 0.000 0.500
V1 V 0.000 0.000 0.000
As1 As 0.500 0.500 0.500
```

7.
Below is an optimized crystal structure of Na6VAs4, with properties calculated at the PBE level.

Values from the calculation:
formation enthalpy at 0 K: -0.4195 eV/atom
calculated total energy: -0.13446 Ha/atom
size of the total moment: 0.0 μB per formula unit
density: 2912 kg/m³

```
data_Na6VAs4
_space_group_name_H-M_alt 'P 63 m c'
_space_group_IT_number 186
_space_group_name_Hall 'P 6c -2c'
_cell_length_a 9.4421
_cell_length_b 9.4421
_cell_length_c 7.2161
_cell_angle_alpha 90.00
_cell_angle_beta 90.00
_cell_angle_gamma 120.00
loop_
_atom_site_label
_atom_site_type_symbol
_atom_site_fract_x
_atom_site_fract_y
_atom_site_fract_z
Na1 Na 0.0572 0.5286 0.0000
Na2 Na 0.1451 0.2903 0.6879
V1 V 0.3333 0.6667 0.3829
As1 As 0.1943 0.3886 0.2862
As2 As 0.3333 0.6667 0.7096
```

8.
Below is an optimized crystal structure of NaVAs3, with properties calculated at the PBE level.

Values from the calculation:
formation enthalpy at 0 K: -0.0609 eV/atom
calculated total energy: -0.18147 Ha/atom
size of the total moment: 0.0 μB per formula unit
density: 4448 kg/m³
energy relative to the lowest polymorph listed for this composition: 0.0 meV/atom

```
data_NaVAs3
_space_group_name_H-M_alt 'P m -3 m'
_space_group_IT_number 221
_space_group_name_Hall '-P 4 2 3'
_cell_length_a 4.813
_cell_length_b 4.813
_cell_length_c 4.813
_cell_angle_alpha 90.00
_cell_angle_beta 90.00
_cell_angle_gamma 90.00
loop_
_atom_site_label
_atom_site_type_symbol
_atom_site_fract_x
_atom_site_fract_y
_atom_site_fract_z
Na1 Na 0.000 0.000 0.000
V1 V 0.500 0.500 0.500
As1 As 0.000 0.500 0.500
```

9.
Below is an optimized crystal structure of Na2VAs2, with properties calculated at the PBE level.

Values from the calculation:
formation enthalpy at 0 K: -0.4292 eV/atom
calculated total energy: -0.17053 Ha/atom
size of the total moment: 1.0 μB per formula unit
density: 3337 kg/m³
energy relative to the lowest polymorph listed for this composition: 0.0 meV/atom

```
data_Na2VAs2
_space_group_name_H-M_alt 'I b a m'
_space_group_IT_number 72
_space_group_name_Hall '-I 2 2c'
_cell_length_a 6.534
_cell_length_b 12.473
_cell_length_c 6.027
_cell_angle_alpha 90.00
_cell_angle_beta 90.00
_cell_angle_gamma 90.00
loop_
_atom_site_label
_atom_site_type_symbol
_atom_site_fract_x
_atom_site_fract_y
_atom_site_fract_z
Na1 Na 0.169 0.151 0.000
V1 V 0.000 0.500 0.250
As1 As 0.207 0.395 0.000
```

10.
Below is an optimized crystal structure of Na3VAs, with properties calculated at the PBE level.

Values from the calculation:
formation enthalpy at 0 K: 0.6242 eV/atom
calculated total energy: -0.10734 Ha/atom
size of the total moment: 4.8 μB per formula unit
density: 1912 kg/m³
energy relative to the lowest polymorph listed for this composition: 0.0 meV/atom

```
data_Na3VAs
_space_group_name_H-M_alt 'P m -3 m'
_space_group_IT_number 221
_space_group_name_Hall '-P 4 2 3'
_cell_length_a 5.531
_cell_length_b 5.531
_cell_length_c 5.531
_cell_angle_alpha 90.00
_cell_angle_beta 90.00
_cell_angle_gamma 90.00
loop_
_atom_site_label
_atom_site_type_symbol
_atom_site_fract_x
_atom_site_fract_y
_atom_site_fract_z
Na1 Na 0.000 0.000 0.500
V1 V 0.500 0.500 0.500
As1 As 0.000 0.000 0.000
```

11.
Below is an optimized crystal structure of NaVAs3, with properties calculated at the PBE level.

Values from the calculation:
formation enthalpy at 0 K: 1.2187 eV/atom
calculated total energy: -0.13445 Ha/atom
size of the total moment: 3.0 μB per formula unit
density: 4193 kg/m³
energy relative to the lowest polymorph listed for this composition: 1279.6 meV/atom

```
data_NaVAs3
_space_group_name_H-M_alt 'P m -3 m'
_space_group_IT_number 221
_space_group_name_Hall '-P 4 2 3'
_cell_length_a 4.909
_cell_length_b 4.909
_cell_length_c 4.909
_cell_angle_alpha 90.00
_cell_angle_beta 90.00
_cell_angle_gamma 90.00
loop_
_atom_site_label
_atom_site_type_symbol
_atom_site_fract_x
_atom_site_fract_y
_atom_site_fract_z
Na1 Na 0.000 0.000 0.000
V1 V 0.500 0.500 0.500
As1 As 0.000 0.000 0.500
```

12.
Below is an optimized crystal structure of Na2VAs2, with properties calculated at the PBE level.

Values from the calculation:
formation enthalpy at 0 K: -0.2556 eV/atom
calculated total energy: -0.16415 Ha/atom
size of the total moment: 2.9 μB per formula unit
density: 3841 kg/m³
energy relative to the lowest polymorph listed for this composition: 173.5 meV/atom

```
data_Na2VAs2
_space_group_name_H-M_alt 'P 4/m b m'
_space_group_IT_number 127
_space_group_name_Hall '-P 4 2ab'
_cell_length_a 6.626
_cell_length_b 6.626
_cell_length_c 4.859
_cell_angle_alpha 90.00
_cell_angle_beta 90.00
_cell_angle_gamma 90.00
loop_
_atom_site_label
_atom_site_type_symbol
_atom_site_fract_x
_atom_site_fract_y
_atom_site_fract_z
Na1 Na 0.172 0.328 0.000
V1 V 0.000 0.000 0.500
As1 As 0.138 0.638 0.500
```